# 1
! Ce2Ga3SnPt4, optimized geometry, DFT GGA-PBE; values from VASP
! Symmetry: P-4m2, No. 115
! Energy of formation, meV per atom: -897.1
&SYSTEM
  ibrav = 0, nat = 10, ntyp = 4
/
ATOMIC_SPECIES
Ce 140.12 Ce.upf
Ga 69.72 Ga.upf
Sn 118.71 Sn.upf
Pt 195.08 Pt.upf
ATOMIC_POSITIONS angstrom
Ce 0.000 2.169 2.593
Ce 2.169 0.000 8.074
Ga 0.000 2.169 9.335
Ga 2.169 0.000 1.332
Ga 2.169 2.169 5.334
Sn 0.000 0.000 5.334
Pt 0.000 0.000 0.000
Pt 0.000 2.169 6.876
Pt 2.169 0.000 3.791
Pt 2.169 2.169 0.000
CELL_PARAMETERS angstrom
4.338 0.000 0.000
0.000 4.338 0.000
0.000 0.000 10.667

# 2
! Cd2IrCl, optimized geometry, DFT GGA-PBE; values from VASP
! ΔE to the lowest computed polymorph, eV per atom: 0.5080
! Formation energy (no corrections), eV/atom: 0.3795
! Symmetry: P4mm, No. 99
&SYSTEM
  ibrav = 0, nat = 4, ntyp = 3
/
ATOMIC_SPECIES
Cd 112.41 Cd.upf
Ir 192.22 Ir.upf
Cl 35.45 Cl.upf
ATOMIC_POSITIONS angstrom
Cd 0.000 0.000 0.000
Cd 1.533 1.533 2.389
Ir 1.533 1.533 6.524
Cl 0.000 0.000 4.713
CELL_PARAMETERS angstrom
3.067 0.000 0.000
0.000 3.067 0.000
0.000 0.000 8.325

# 3
! Pm4Al2Sn, optimized geometry, DFT GGA-PBE; values from VASP
! Symmetry: R-3m, No. 166
! Energy of formation, meV per atom: -306.2
&SYSTEM
  ibrav = 0, nat = 7, ntyp = 3
/
ATOMIC_SPECIES
Pm 145.00 Pm.upf
Al 26.98 Al.upf
Sn 118.71 Sn.upf
ATOMIC_POSITIONS angstrom
Pm 0.000 0.000 3.007
Pm 0.000 0.000 9.463
Pm 0.000 0.000 16.101
Pm 0.000 0.000 22.557
Al 0.000 0.000 6.405
Al 0.000 0.000 19.158
Sn 0.000 0.000 12.782
CELL_PARAMETERS angstrom
2.625 1.516 8.521
-2.625 1.516 8.521
0.000 -3.031 8.521

| no. | density of states at the Fermi level (states/eV per atom) |
| --- | --- |
| 1 | 1.156 |
| 2 | 1.124 |
| 3 | 0.904 |